Entry 1:
VASP calculation (PBE) on a relaxed structure of CaAl2Pt.

Calculated values
The value obtained for the formation enthalpy at 0 K is -75.6 kJ per mole of atoms.

extended XYZ file:
```
4
Lattice="4.3535 -0.0075 0.0036 2.1824 3.7670 0.0036 2.1822 1.2552 5.2730" Properties=species:S:1:pos:R:3 pbc="T T T"
Pt 2.1785 1.2531 0.2051
Al 6.5360 3.7595 0.5156
Al 6.5388 3.7611 4.6720
Ca 4.3599 2.5078 2.5345
```

---

Entry 2:
VASP calculation (PBE) on a relaxed structure of CaAl9Pt2.

Calculated values
The value obtained for the formation enthalpy at 0 K is -48.5 kJ per mole of atoms.

extended XYZ file:
```
24
Lattice="6.6046 0.0000 3.0406 3.3023 7.5623 1.5203 0.1398 0.0000 8.3896" Properties=species:S:1:pos:R:3 pbc="T T T"
Pt 8.2906 5.6717 5.8982
Al 6.9330 4.3892 10.0558
Pt 6.7094 1.8906 9.3328
Al 4.3636 3.1730 8.8729
Al 1.6089 1.3273 4.2338
Al 4.2937 0.6081 4.6781
Al 2.4506 0.6081 6.7521
Pt 5.0583 5.6717 8.5726
Al 7.7048 6.2350 8.3792
Al 5.0656 2.4538 3.0016
Al 2.4117 5.1085 8.7661
Al 1.6788 2.4538 8.4286
Al 5.6441 6.2350 6.0916
Al 3.5608 6.9542 4.3407
Pt 6.6395 1.8906 5.1380
Ca 3.3023 0.0000 1.5203
Al 3.1836 6.9542 7.0895
Al 4.3326 5.1085 2.6641
Al 0.0000 0.0000 0.0000
Al 5.1355 1.3273 7.1963
Al 6.4160 4.3892 4.4150
Ca 3.3722 3.7811 5.7151
Al 6.6745 3.7811 7.2354
Al 2.3807 3.1730 2.5573
```

---

Entry 3:
VASP calculation (PBE) on a relaxed structure of CaAl2Pt.

Calculated values
The value obtained for the formation enthalpy at 0 K is -50.0 kJ per mole of atoms.

extended XYZ file:
```
4
Lattice="-3.8814 2.2024 -0.0523 -1.0597 -1.7920 3.1789 1.7795 3.2206 3.5559" Properties=species:S:1:pos:R:3 pbc="T T T"
Al 0.8358 1.6198 6.1789
Ca -1.7607 1.4583 1.6575
Al 0.2439 0.5231 3.9233
Pt -1.4008 2.1727 5.0249
```

---

Entry 4:
VASP calculation (PBE) on a relaxed structure of CaAlPt4.

Calculated values
The value obtained for the formation enthalpy at 0 K is -60.3 kJ per mole of atoms.

extended XYZ file:
```
6
Lattice="3.7141 -0.1420 3.8556 -1.0378 2.1409 4.7979 -0.6810 -3.1753 4.2584" Properties=species:S:1:pos:R:3 pbc="T T T"
Pt 2.5984 -0.5124 6.7684
Ca 0.0000 0.0000 0.0000
Pt 0.2326 0.6241 7.2376
Pt 0.4103 -2.0226 6.9690
Pt 0.7493 -0.4418 4.8489
Al 1.4965 -0.8823 9.6839
```

---

Entry 5:
VASP calculation (PBE) on a relaxed structure of Ca2AlPt.

Calculated values
The value obtained for the formation enthalpy at 0 K is -56.5 kJ per mole of atoms.

extended XYZ file:
```
4
Lattice="5.8985 -0.0933 0.0307 4.7127 3.5485 0.0307 2.1843 0.7112 4.5524" Properties=species:S:1:pos:R:3 pbc="T T T"
Ca 9.8527 3.2083 3.3228
Al 2.7272 0.8880 1.4043
Ca 10.4753 3.4110 0.1352
Pt 6.7492 2.1977 2.1197
```

---

Entry 6:
VASP calculation (PBE) on a relaxed structure of Ca2Al5Pt4.

Calculated values
The value obtained for the formation enthalpy at 0 K is -86.6 kJ per mole of atoms.

extended XYZ file:
```
11
Lattice="-3.1421 3.2150 3.1534 1.0875 0.4852 5.3699 3.2171 7.7857 0.0488" Properties=species:S:1:pos:R:3 pbc="T T T"
Al -1.0273 1.8501 4.2617
Pt 0.4961 2.8269 2.3931
Al -1.5710 1.6075 1.5767
Al -0.2042 6.5467 5.0744
Al 1.3668 4.9392 3.4977
Al 0.5438 0.2426 2.6850
Ca 1.8795 6.0598 0.4756
Pt 1.2698 7.4600 3.2216
Ca -1.8045 4.9409 2.7266
Pt -0.1073 4.0259 5.3505
Pt 0.6665 8.6589 6.1790
```

---

Entry 7:
VASP calculation (PBE) on a relaxed structure of Ca2AlPt.

Calculated values
The value obtained for the formation enthalpy at 0 K is -65.5 kJ per mole of atoms.

extended XYZ file:
```
4
Lattice="4.1910 0.0000 0.0000 0.0000 4.4731 -0.0025 0.0000 2.2430 5.5025" Properties=species:S:1:pos:R:3 pbc="T T T"
Pt 0.0000 4.1963 2.7527
Ca 2.0955 1.9593 1.8667
Al 2.0955 4.1987 4.0555
Ca 0.0000 6.4360 5.0753
```

---

Entry 8:
VASP calculation (PBE) on a relaxed structure of Ca3Al7Pt2.

Calculated values
The value obtained for the formation enthalpy at 0 K is -34.0 kJ per mole of atoms.

extended XYZ file:
```
12
Lattice="-0.5816 -3.2920 -2.8349 4.4628 -0.3711 -0.4847 -1.8455 -8.9936 10.8222" Properties=species:S:1:pos:R:3 pbc="T T T"
Al 0.0000 0.0000 0.0000
Pt 2.5540 -7.8582 8.6012
Al 2.2335 -8.7987 6.3705
Pt 0.0633 -1.5064 1.7363
Al 2.4754 -5.9893 6.4471
Al 0.1419 -3.3753 3.8904
Ca 2.0993 -5.6057 2.6903
Al 2.3237 -2.3818 2.2891
Ca 1.9406 -1.8315 -1.6598
Ca -0.0636 -7.0509 4.8122
Al 0.2936 -6.9828 8.0484
Al -0.1978 -3.8580 1.1321
```

---

Entry 9:
VASP calculation (PBE) on a relaxed structure of CaAlPt2.

Calculated values
The value obtained for the formation enthalpy at 0 K is -68.4 kJ per mole of atoms.

extended XYZ file:
```
4
Lattice="5.3110 -0.0067 0.0000 2.3947 4.7404 0.0000 -3.8528 -2.3669 2.7857" Properties=species:S:1:pos:R:3 pbc="T T T"
Pt 0.0000 0.0000 0.0000
Al 3.8528 2.3669 0.0000
Pt 1.1973 2.3702 1.3928
Ca 2.6555 -0.0033 1.3928
```

---

Entry 10:
VASP calculation (PBE) on a relaxed structure of Ca3Al2Pt6.

Calculated values
The value obtained for the formation enthalpy at 0 K is -96.3 kJ per mole of atoms.

extended XYZ file:
```
22
Lattice="7.7992 0.0000 -2.7574 -3.8996 6.7543 -2.7574 0.0000 0.0000 8.2723" Properties=species:S:1:pos:R:3 pbc="T T T"
Pt 3.7434 2.1612 0.0000
Pt 2.6518 4.5931 -0.7719
Al 3.8996 0.0000 -1.3787
Al 1.9498 3.3772 1.3787
Ca 5.4311 0.0000 3.8404
Pt 3.8996 2.4318 2.7574
Pt 5.3037 0.0000 0.7719
Pt -2.6518 4.5931 0.7719
Ca -1.1841 2.0509 1.6745
Ca 2.7156 4.7035 -3.8404
Pt -1.2478 2.1612 4.7430
Pt 0.0000 4.3225 0.0000
Pt 4.0559 2.1612 -2.7574
Pt 2.4956 0.0000 4.7430
Ca 1.1841 2.0509 -1.6745
Al -1.9498 3.3772 -1.3787
Al 0.0000 0.0000 4.1362
Pt 1.2478 2.1612 3.5293
Pt 0.1562 4.5931 2.7574
Ca -2.7156 4.7035 3.8404
Pt -0.1562 4.5931 -2.7574
Ca 2.3681 0.0000 1.6745
```

---

Entry 11:
VASP calculation (PBE) on a relaxed structure of CaAl11Pt.

Calculated values
The value obtained for the formation enthalpy at 0 K is -23.0 kJ per mole of atoms.

extended XYZ file:
```
13
Lattice="-4.1643 -1.3103 2.8343 1.9164 -0.1181 7.0053 -3.6614 5.5238 1.9533" Properties=species:S:1:pos:R:3 pbc="T T T"
Al -1.7024 3.5269 3.7739
Al -3.9128 2.1068 2.3938
Al -4.5059 3.6395 4.5209
Al -3.3200 1.0543 5.0333
Al -4.2068 0.5685 8.0191
Al 0.9582 -0.0590 3.5027
Pt -1.1239 -0.7142 4.9198
Ca 0.0000 0.0000 0.0000
Al -1.8307 2.7619 0.9767
Al -4.3758 3.2848 8.9914
Al -2.5892 3.0411 6.7596
Al -1.5334 0.8107 2.8015
Al -1.4033 0.4560 7.2720
```

---

Entry 12:
VASP calculation (PBE) on a relaxed structure of Ca2AlPt.

Calculated values
The value obtained for the formation enthalpy at 0 K is -47.6 kJ per mole of atoms.

extended XYZ file:
```
8
Lattice="10.5117 0.0000 0.0000 0.0000 10.5117 0.0000 5.2559 5.2559 2.4024" Properties=species:S:1:pos:R:3 pbc="T T T"
Ca 9.6151 2.6279 0.6006
Pt 0.0000 0.0000 0.0000
Pt 10.5117 5.2559 1.2012
Al 5.2559 10.5117 1.2012
Ca 13.1396 4.3593 1.8018
Ca 11.4083 7.8838 0.6006
Ca 7.8838 6.1524 1.8018
Al 5.2559 5.2559 0.0000
```

---

Entry 13:
VASP calculation (PBE) on a relaxed structure of CaAl4Pt2.

Calculated values
The value obtained for the formation enthalpy at 0 K is -83.6 kJ per mole of atoms.

extended XYZ file:
```
28
Lattice="4.3139 0.0000 0.0000 0.0000 6.6708 0.0000 0.0000 0.0000 17.2309" Properties=species:S:1:pos:R:3 pbc="T T T"
Al 3.2354 1.1556 14.0259
Ca 1.0785 0.1307 6.1874
Ca 1.0785 3.2047 14.8029
Al 3.2354 5.6545 8.0163
Pt 3.2354 1.6771 16.5819
Al 3.2354 5.1304 13.9249
Pt 3.2354 3.1287 12.3430
Pt 1.0785 5.0125 9.2644
Al 1.0785 2.3191 0.5992
Al 3.2354 4.8757 5.3094
Al 1.0785 0.0804 16.0270
Ca 3.2354 3.4661 2.4280
Pt 1.0785 4.9936 0.6490
Al 1.0785 4.4910 11.8205
Al 3.2354 2.1798 5.4105
Al 3.2354 3.4158 9.8194
Al 1.0785 1.5403 3.3060
Pt 3.2354 1.6583 7.9665
Pt 3.2354 0.2067 3.7275
Al 3.2354 6.5904 1.2039
Pt 1.0785 3.5421 4.8880
Pt 1.0785 6.4641 13.5034
Ca 3.2354 6.5401 11.0435
Al 1.0785 5.5152 3.2050
Al 1.0785 1.0162 9.2146
Al 1.0785 1.7950 11.9215
Al 3.2354 4.3516 16.6318
Al 1.0785 3.2550 7.4116
```

---

Entry 14:
VASP calculation (PBE) on a relaxed structure of Ca2Al3Pt4.

Calculated values
The value obtained for the formation enthalpy at 0 K is -101.0 kJ per mole of atoms.

extended XYZ file:
```
18
Lattice="-1.1006 -0.1482 5.6076 4.4175 -5.9952 0.7085 6.5364 4.6379 -1.5082" Properties=species:S:1:pos:R:3 pbc="T T T"
Pt 8.8133 -0.4757 0.2604
Ca 4.7124 -4.5727 3.7178
Pt 8.2630 -0.5498 3.0642
Al 3.0302 0.4876 4.9783
Al 6.8230 -1.9931 -0.1704
Al 6.2727 -2.0673 2.6334
Pt 3.3622 2.6698 3.6443
Pt 6.4910 -4.1753 1.1636
Al 1.6584 -3.0717 3.1581
Pt 1.0398 -1.0298 4.5475
Al 0.0000 0.0000 0.0000
Pt 3.9575 -1.5579 3.6493
Ca 5.1408 3.0672 1.0901
Al 3.5805 0.5617 2.1745
Ca 3.8581 -2.5923 0.6887
Pt 5.8957 0.0524 1.1586
Pt 1.5902 -0.9557 1.7437
Ca 5.9951 1.0868 4.1192
```

---

Entry 15:
VASP calculation (PBE) on a relaxed structure of CaAl2Pt.

Calculated values
The value obtained for the formation enthalpy at 0 K is -43.7 kJ per mole of atoms.

extended XYZ file:
```
4
Lattice="4.6929 -0.6839 -0.3789 0.5340 4.7123 0.3789 -2.5851 -2.0510 3.4271" Properties=species:S:1:pos:R:3 pbc="T T T"
Pt 2.0972 -0.5633 1.5241
Ca 2.6132 2.0140 0.0000
Al 0.0986 0.0760 0.0000
Al 0.4463 2.4650 1.9030
```

---

Entry 16:
VASP calculation (PBE) on a relaxed structure of CaAlPt2.

Calculated values
The value obtained for the formation enthalpy at 0 K is -89.1 kJ per mole of atoms.

extended XYZ file:
```
4
Lattice="-2.3031 -1.1703 1.6484 0.0437 -2.5347 -1.7384 4.9324 -5.6357 2.8903" Properties=species:S:1:pos:R:3 pbc="T T T"
Al 0.0925 -2.6277 1.1122
Pt 2.2557 -3.9384 0.3555
Ca 2.5806 -6.7129 1.6882
Pt 0.2761 -2.6815 -1.5179
```

---

Entry 17:
VASP calculation (PBE) on a relaxed structure of CaAlPt2.

Calculated values
The value obtained for the formation enthalpy at 0 K is -46.2 kJ per mole of atoms.

extended XYZ file:
```
16
Lattice="6.7010 0.0000 0.0000 0.0000 5.6055 0.0000 0.0000 0.0000 9.9282" Properties=species:S:1:pos:R:3 pbc="T T T"
Ca 0.0000 4.2041 3.9913
Ca 0.0000 1.4014 5.9369
Al 0.0000 4.2041 7.5890
Ca 3.3505 4.2041 1.6762
Al 0.0000 1.4014 2.3392
Pt 3.3505 2.8027 4.9641
Al 3.3505 1.4014 3.0399
Ca 3.3505 1.4014 8.2520
Pt 2.0523 4.2041 8.9226
Pt 4.6487 4.2041 8.9226
Al 3.3505 4.2041 6.8883
Pt 3.3505 0.0000 4.9641
Pt 0.0000 2.8027 0.0000
Pt 4.6487 1.4014 1.0057
Pt 0.0000 0.0000 0.0000
Pt 2.0523 1.4014 1.0057
```

---

Entry 18:
VASP calculation (PBE) on a relaxed structure of CaAl2Pt.

Calculated values
The value obtained for the formation enthalpy at 0 K is -57.8 kJ per mole of atoms.

extended XYZ file:
```
4
Lattice="-2.5588 1.2928 -1.4631 -1.7217 -0.3605 2.6924 2.1301 6.7859 2.2708" Properties=species:S:1:pos:R:3 pbc="T T T"
Ca -1.6077 2.1626 1.1823
Al 1.1956 3.8089 1.2746
Pt -0.5426 5.5555 2.3177
Al 1.9995 6.3699 2.1316
```

---

Entry 19:
VASP calculation (PBE) on a relaxed structure of Ca2Al6Pt.

Calculated values
The value obtained for the formation enthalpy at 0 K is -45.3 kJ per mole of atoms.

extended XYZ file:
```
9
Lattice="6.0996 -0.0280 -0.0162 0.0281 5.7885 0.0061 0.0281 2.8892 5.0159" Properties=species:S:1:pos:R:3 pbc="T T T"
Al 4.1121 1.4516 0.8401
Al 4.1263 2.8717 3.3068
Al 2.0294 5.7780 1.6990
Al 2.0294 4.3518 4.1633
Ca 0.7950 2.8897 1.6723
Al 4.1263 4.2979 0.8424
Pt 0.0000 0.0000 0.0000
Al 2.0436 7.1981 4.1657
Ca 5.3607 5.7600 3.3335
```

---

Entry 20:
VASP calculation (PBE) on a relaxed structure of Ca3Al3Pt.

Calculated values
The value obtained for the formation enthalpy at 0 K is -51.7 kJ per mole of atoms.

extended XYZ file:
```
14
Lattice="4.1765 0.0000 0.6291 2.0498 5.6885 0.5701 -0.0819 0.1646 14.7209" Properties=species:S:1:pos:R:3 pbc="T T T"
Al 4.0039 0.6885 1.7750
Ca 4.5779 4.3320 12.1422
Ca 3.3152 3.6671 6.3472
Al 5.7198 4.8432 4.5612
Pt 3.3443 0.4856 6.1538
Ca 3.9809 3.9482 1.9278
Ca 2.1635 1.9048 13.9924
Ca 1.5665 1.5211 3.7779
Al 2.1405 5.1646 14.1452
Ca 2.8293 2.1860 9.5730
Al 5.0690 4.7948 8.8818
Al 0.4246 1.0099 11.3590
Al 1.0754 1.0583 7.0384
Pt 2.8001 5.3674 9.7664
```